Y3Se2ClO8 | Alexandria | GGA-PBEsol | optimized geometry; calculated total energy = -7.5681 eV/atom; energy relative to the elements, uncorrected = -33.78 eV per formula unit; V = 15.6 A^3/atom; total moment = 0.00 μB/cell
1.0
5.477 0.000 0.000
0.000 14.489 0.000
0.000 0.000 11.002
Y Se Cl O
12 8 4 32
Direct
0.058 0.250 0.148
0.071 0.067 0.356
0.071 0.433 0.356
0.429 0.567 0.856
0.429 0.933 0.856
0.442 0.750 0.648
0.558 0.250 0.352
0.571 0.067 0.144
0.571 0.433 0.144
0.929 0.567 0.644
0.929 0.933 0.644
0.942 0.750 0.852
0.089 0.610 0.123
0.089 0.890 0.123
0.411 0.110 0.623
0.411 0.390 0.623
0.589 0.610 0.377
0.589 0.890 0.377
0.911 0.110 0.877
0.911 0.390 0.877
0.083 0.250 0.476
0.417 0.750 0.976
0.583 0.250 0.024
0.917 0.750 0.524
0.084 0.138 0.999
0.084 0.362 0.999
0.085 0.024 0.807
0.085 0.476 0.807
0.182 0.044 0.555
0.182 0.456 0.555
0.189 0.653 0.744
0.189 0.847 0.744
0.311 0.153 0.244
0.311 0.347 0.244
0.318 0.544 0.055
0.318 0.956 0.055
0.415 0.524 0.307
0.415 0.976 0.307
0.416 0.638 0.499
0.416 0.862 0.499
0.584 0.138 0.501
0.584 0.362 0.501
0.585 0.024 0.693
0.585 0.476 0.693
0.682 0.044 0.945
0.682 0.456 0.945
0.689 0.653 0.756
0.689 0.847 0.756
0.811 0.153 0.256
0.811 0.347 0.256
0.818 0.544 0.445
0.818 0.956 0.445
0.915 0.524 0.193
0.915 0.976 0.193
0.916 0.638 0.001
0.916 0.862 0.001